1.
# GeP2NO

A relaxed structure of GeP2NO (PBE, the Alexandria database).

Results
Raw formation energy in eV/atom: 1.39

a = 4.719 Å, b = 4.719 Å, c = 3.520 Å
α = 90.00°, β = 90.00°, γ = 90.00°
Space group P4/mmm (No. 123)
Asymmetric unit:
Ge  0.000  0.000  0.000 (multiplicity 1)
P  0.000  0.500  0.000 (multiplicity 2)
N  0.500  0.500  0.500 (multiplicity 1)
O  0.000  0.000  0.500 (multiplicity 1)


2.
# GePNO2

A relaxed structure of GePNO2 (PBE, the Alexandria database).

Results
Raw formation energy in eV/atom: -0.36

a = 3.554 Å, b = 3.554 Å, c = 3.617 Å
α = 90.00°, β = 90.00°, γ = 90.00°
Space group P4/mmm (No. 123)
Asymmetric unit:
Ge  0.000  0.000  0.000 (multiplicity 1)
P  0.500  0.500  0.500 (multiplicity 1)
N  0.500  0.500  0.000 (multiplicity 1)
O  0.000  0.500  0.500 (multiplicity 2)


3.
# GePN2O

A relaxed structure of GePN2O (PBE, the Alexandria database).

Results
Raw formation energy in eV/atom: 1.00

a = 3.825 Å, b = 3.825 Å, c = 3.670 Å
α = 90.00°, β = 90.00°, γ = 90.00°
Space group P4/mmm (No. 123)
Asymmetric unit:
Ge  0.000  0.000  0.000 (multiplicity 1)
P  0.500  0.500  0.500 (multiplicity 1)
N  0.000  0.500  0.000 (multiplicity 2)
O  0.000  0.000  0.500 (multiplicity 1)


4.
# GeP2NO

A relaxed structure of GeP2NO (PBE, the Alexandria database).

Results
Raw formation energy in eV/atom: 0.93

a = 4.060 Å, b = 4.060 Å, c = 3.723 Å
α = 90.00°, β = 90.00°, γ = 90.00°
Space group P4/mmm (No. 123)
Asymmetric unit:
Ge  0.000  0.000  0.000 (multiplicity 1)
P  0.000  0.500  0.500 (multiplicity 2)
N  0.500  0.500  0.500 (multiplicity 1)
O  0.500  0.500  0.000 (multiplicity 1)


5.
# GePNO2

A relaxed structure of GePNO2 (PBE, the Alexandria database).

Results
Raw formation energy in eV/atom: 0.55

a = 3.454 Å, b = 3.454 Å, c = 5.788 Å
α = 90.00°, β = 90.00°, γ = 90.00°
Space group P4/mmm (No. 123)
Asymmetric unit:
Ge  0.000  0.000  0.000 (multiplicity 1)
P  0.000  0.000  0.500 (multiplicity 1)
N  0.500  0.500  0.500 (multiplicity 1)
O  0.000  0.500  0.000 (multiplicity 2)


6.
# GePNO2

A relaxed structure of GePNO2 (PBE, the Alexandria database).

Results
Raw formation energy in eV/atom: 0.22

a = 3.640 Å, b = 3.640 Å, c = 3.970 Å
α = 90.00°, β = 90.00°, γ = 90.00°
Space group P4/mmm (No. 123)
Asymmetric unit:
Ge  0.000  0.000  0.000 (multiplicity 1)
P  0.500  0.500  0.500 (multiplicity 1)
N  0.000  0.000  0.500 (multiplicity 1)
O  0.000  0.500  0.000 (multiplicity 2)


7.
# GePNO2

A relaxed structure of GePNO2 (PBE, the Alexandria database).

Results
Raw formation energy in eV/atom: 0.89

a = 4.139 Å, b = 4.139 Å, c = 3.400 Å
α = 90.00°, β = 90.00°, γ = 90.00°
Space group P4/mmm (No. 123)
Asymmetric unit:
Ge  0.000  0.000  0.000 (multiplicity 1)
P  0.500  0.500  0.000 (multiplicity 1)
N  0.500  0.500  0.500 (multiplicity 1)
O  0.000  0.500  0.500 (multiplicity 2)


8.
# Pa3GeN2O6

A relaxed structure of Pa3GeN2O6 (PBE, the Alexandria database).

Results
Raw formation energy in eV/atom: -2.37

a = 11.142 Å, b = 6.977 Å, c = 4.632 Å
α = 90.00°, β = 91.66°, γ = 90.00°
Space group C2/m (No. 12)
Asymmetric unit:
Pa  0.000  0.000  0.000 (multiplicity 2)
Pa  0.250  0.250  0.500 (multiplicity 4)
Ge  0.000  0.500  0.500 (multiplicity 2)
N  0.167  0.000  0.265 (multiplicity 4)
O  0.081  0.251  0.743 (multiplicity 8)
O  0.157  0.500  0.299 (multiplicity 4)


9.
# GePbNO2

A relaxed structure of GePbNO2 (PBE, the Alexandria database).

Results
Raw formation energy in eV/atom: -0.43

a = 3.802 Å, b = 3.802 Å, c = 4.101 Å
α = 90.00°, β = 90.00°, γ = 90.00°
Space group P4/mmm (No. 123)
Asymmetric unit:
Ge  0.000  0.000  0.000 (multiplicity 1)
Pb  0.500  0.500  0.500 (multiplicity 1)
N  0.000  0.000  0.500 (multiplicity 1)
O  0.000  0.500  0.000 (multiplicity 2)


10.
# GePbN2O

A relaxed structure of GePbN2O (PBE, the Alexandria database).

Results
Raw formation energy in eV/atom: 0.42

a = 3.990 Å, b = 3.990 Å, c = 3.905 Å
α = 90.00°, β = 90.00°, γ = 90.00°
Space group P4/mmm (No. 123)
Asymmetric unit:
Ge  0.000  0.000  0.000 (multiplicity 1)
Pb  0.500  0.500  0.500 (multiplicity 1)
N  0.000  0.500  0.000 (multiplicity 2)
O  0.000  0.000  0.500 (multiplicity 1)


11.
# GePdN2O

A relaxed structure of GePdN2O (PBE, the Alexandria database).

Results
Raw formation energy in eV/atom: 1.24

a = 3.941 Å, b = 3.941 Å, c = 4.189 Å
α = 90.00°, β = 90.00°, γ = 90.00°
Space group P4/mmm (No. 123)
Asymmetric unit:
Ge  0.000  0.000  0.000 (multiplicity 1)
Pd  0.500  0.500  0.500 (multiplicity 1)
N  0.000  0.500  0.500 (multiplicity 2)
O  0.500  0.500  0.000 (multiplicity 1)


12.
# GePdNO2

A relaxed structure of GePdNO2 (PBE, the Alexandria database).

Results
Raw formation energy in eV/atom: 0.54

a = 4.160 Å, b = 4.160 Å, c = 3.698 Å
α = 90.00°, β = 90.00°, γ = 90.00°
Space group P4/mmm (No. 123)
Asymmetric unit:
Ge  0.000  0.000  0.000 (multiplicity 1)
Pd  0.500  0.500  0.500 (multiplicity 1)
N  0.500  0.500  0.000 (multiplicity 1)
O  0.000  0.500  0.500 (multiplicity 2)


In the order shown, the computed DFT total energy values come out to -4.351, -6.014, -5.329, -4.816, -5.107, -5.435, -4.760, -8.993, -5.744, -5.564, -5.039, -5.066 eV per atom.